First-principles (PBE-GGA) data for an optimized crystal structure of TlAgMo2, as listed in Alexandria via LeMat-Bulk.

POSCAR file:
```
TlAgMo2
1.0
4.740 0.000 0.000
0.000 2.815 -0.031
0.000 1.549 5.448
Mo Ag Tl
2 1 1
Direct
0.000 0.467 0.529 Mo
0.000 0.033 0.971 Mo
0.500 0.750 0.750 Ag
0.500 0.250 0.250 Tl
```

Output
- M_tot (μB per formula unit) = 0.00
- formation enthalpy at 0 K (kJ per mole of atoms) = 65
- Fermi-level density of states (states/eV/f.u.) = 2.522
- crystal system = monoclinic